# 1
Ti2Ge2I: optimized geometry, PBE-GGA.

Values from the calculation:
- DFT total energy: -5.51 eV/atom
- Total magnetic moment: 0.000 μB/f.u.
- Raw formation energy: -1.0 eV per formula unit

a b c (Å): 7.477 7.477 3.436
angles (deg): 90.00 90.00 90.00
Atoms (fractional coordinates):
Ti1 0.163 0.337 0.000
Ti2 0.337 0.837 0.000
Ti3 0.663 0.163 0.000
Ti4 0.837 0.663 0.000
Ge1 0.124 0.624 0.500
Ge2 0.376 0.124 0.500
Ge3 0.624 0.876 0.500
Ge4 0.876 0.376 0.500
I1 0.000 0.000 0.000
I2 0.500 0.500 0.000


# 2
EuLu2Ga: optimized geometry, PBE-GGA.

Values from the calculation:
- DFT total energy: -5.83 eV/atom
- Total magnetic moment: 7.225 μB/f.u.
- Formation energy from the elements: -243 meV/atom

a b c (Å): 3.493 3.493 9.163
angles (deg): 90.00 90.00 90.00
Atoms (fractional coordinates):
Eu1 0.000 0.000 0.000
Lu1 0.500 0.500 0.307
Lu2 0.500 0.500 0.693
Ga1 0.000 0.000 0.500


# 3
LiTi3In: optimized geometry, PBE-GGA.

Values from the calculation:
- DFT total energy: -5.07 eV/atom
- Total magnetic moment: 0.000 μB/f.u.
- Formation energy from the elements: 597 meV/atom

a b c (Å): 4.483 4.483 4.483
angles (deg): 90.00 90.00 90.00
Atoms (fractional coordinates):
Li1 0.000 0.000 0.000
Ti1 0.000 0.000 0.500
Ti2 0.000 0.500 0.000
Ti3 0.500 0.000 0.000
In1 0.500 0.500 0.500


# 4
NaPaTl2Cl8: optimized geometry, PBE-GGA.

Values from the calculation:
- DFT total energy: -4.08 eV/atom
- Total magnetic moment: 0.000 μB/f.u.
- Raw formation energy: -18.7 eV per formula unit

a b c (Å): 6.943 7.060 9.255
angles (deg): 89.85 89.95 84.16
Atoms (fractional coordinates):
Na1 0.000 0.000 0.000
Pa1 0.000 0.000 0.500
Tl1 0.498 0.500 0.773
Tl2 0.502 0.500 0.227
Cl1 0.116 0.216 0.300
Cl2 0.117 0.212 0.701
Cl3 0.307 0.741 0.000
Cl4 0.330 0.806 0.499
Cl5 0.670 0.194 0.501
Cl6 0.693 0.259 0.000
Cl7 0.883 0.788 0.299
Cl8 0.884 0.784 0.700


# 5
CaY2TlN: optimized geometry, PBE-GGA.

Values from the calculation:
- DFT total energy: -6.02 eV/atom
- Total magnetic moment: 0.000 μB/f.u.
- Raw formation energy: -4.5 eV per formula unit

a b c (Å): 4.847 4.847 4.871
angles (deg): 90.00 90.00 90.00
Atoms (fractional coordinates):
Ca1 0.000 0.000 0.000
Y1 0.000 0.500 0.500
Y2 0.500 0.000 0.500
Tl1 0.500 0.500 0.000
N1 0.000 0.000 0.500


# 6
LaPu2As4Au: optimized geometry, PBE-GGA.

Values from the calculation:
- DFT total energy: -7.77 eV/atom
- Total magnetic moment: 8.622 μB/f.u.
- Formation energy from the elements: -842 meV/atom

a b c (Å): 7.160 7.160 13.994
angles (deg): 90.00 90.00 145.99
Atoms (fractional coordinates):
La1 0.121 0.879 0.750
La2 0.879 0.121 0.250
Pu1 0.370 0.630 0.563
Pu2 0.370 0.630 0.937
Pu3 0.630 0.370 0.063
Pu4 0.630 0.370 0.437
As1 0.000 0.000 0.000
As2 0.000 0.000 0.500
As3 0.272 0.728 0.114
As4 0.272 0.728 0.386
As5 0.462 0.538 0.750
As6 0.538 0.462 0.250
As7 0.728 0.272 0.614
As8 0.728 0.272 0.886
Au1 0.146 0.854 0.250
Au2 0.854 0.146 0.750


# 7
BaCo2Si: optimized geometry, PBE-GGA.

Values from the calculation:
- DFT total energy: -5.30 eV/atom
- Total magnetic moment: 1.751 μB/f.u.
- Raw formation energy: 0.4 eV per formula unit

a b c (Å): 8.417 8.417 8.417
angles (deg): 146.55 146.55 48.03
Atoms (fractional coordinates):
Ba1 0.375 0.625 0.750
Ba2 0.625 0.375 0.250
Co1 0.000 0.000 0.000
Co2 0.000 0.000 0.500
Co3 0.000 0.500 0.000
Co4 0.500 0.000 0.500
Si1 0.125 0.875 0.250
Si2 0.875 0.125 0.750


# 8
Li2GaAu6: optimized geometry, PBE-GGA.

Values from the calculation:
- DFT total energy: -3.30 eV/atom
- Total magnetic moment: 0.000 μB/f.u.
- Formation energy from the elements: -353 meV/atom

a b c (Å): 8.406 8.406 4.245
angles (deg): 90.00 90.00 90.00
Atoms (fractional coordinates):
Li1 0.192 0.192 0.000
Li2 0.308 0.692 0.500
Li3 0.692 0.308 0.500
Li4 0.808 0.808 0.000
Ga1 0.000 0.000 0.500
Ga2 0.500 0.500 0.000
Au1 0.016 0.325 0.500
Au2 0.137 0.863 0.000
Au3 0.175 0.516 0.000
Au4 0.325 0.016 0.500
Au5 0.363 0.363 0.500
Au6 0.484 0.825 0.000
Au7 0.516 0.175 0.000
Au8 0.637 0.637 0.500
Au9 0.675 0.984 0.500
Au10 0.825 0.484 0.000
Au11 0.863 0.137 0.000
Au12 0.984 0.675 0.500


# 9
Cd3ReGe: optimized geometry, PBE-GGA.

Values from the calculation:
- DFT total energy: -2.55 eV/atom
- Total magnetic moment: 3.370 μB/f.u.
- Formation energy from the elements: 1413 meV/atom

a b c (Å): 5.080 5.080 5.080
angles (deg): 90.00 90.00 90.00
Atoms (fractional coordinates):
Cd1 0.000 0.000 0.500
Cd2 0.000 0.500 0.000
Cd3 0.500 0.000 0.000
Re1 0.500 0.500 0.500
Ge1 0.000 0.000 0.000


# 10
CsLaTeH2: optimized geometry, PBE-GGA.

Values from the calculation:
- DFT total energy: -3.90 eV/atom
- Total magnetic moment: 0.000 μB/f.u.

a b c (Å): 7.948 7.948 4.547
angles (deg): 90.71 90.71 30.20
Atoms (fractional coordinates):
Cs1 0.000 0.000 0.000
La1 0.704 0.704 0.510
Te1 0.280 0.280 0.014
H1 0.139 0.139 0.507
H2 0.556 0.556 0.500


# 11
LiBSb2Te: optimized geometry, PBE-GGA.

Values from the calculation:
- DFT total energy: -2.85 eV/atom
- Total magnetic moment: 0.000 μB/f.u.
- Raw formation energy: 5.7 eV per formula unit

a b c (Å): 4.929 4.929 5.112
angles (deg): 90.00 90.00 90.00
Atoms (fractional coordinates):
Li1 0.000 0.000 0.000
B1 0.500 0.500 0.500
Sb1 0.000 0.500 0.000
Sb2 0.500 0.000 0.000
Te1 0.000 0.000 0.500


# 12
KSb5O13: optimized geometry, PBE-GGA.

Values from the calculation:
- DFT total energy: -5.95 eV/atom
- Total magnetic moment: 0.000 μB/f.u.
- Raw formation energy: -26.9 eV per formula unit

a b c (Å): 5.644 5.644 17.068
angles (deg): 90.00 90.00 107.30
Atoms (fractional coordinates):
K1 0.128 0.872 0.750
K2 0.872 0.128 0.250
Sb1 0.000 0.000 0.000
Sb2 0.000 0.000 0.500
Sb3 0.232 0.768 0.138
Sb4 0.232 0.768 0.362
Sb5 0.386 0.614 0.578
Sb6 0.386 0.614 0.922
Sb7 0.614 0.386 0.078
Sb8 0.614 0.386 0.422
Sb9 0.768 0.232 0.638
Sb10 0.768 0.232 0.862
O1 0.015 0.985 0.113
O2 0.015 0.985 0.387
O3 0.071 0.525 0.633
O4 0.071 0.525 0.867
O5 0.183 0.817 0.250
O6 0.225 0.775 0.010
O7 0.225 0.775 0.490
O8 0.311 0.311 0.000
O9 0.311 0.311 0.500
O10 0.446 0.554 0.151
O11 0.446 0.554 0.349
O12 0.475 0.929 0.633
O13 0.475 0.929 0.867
O14 0.525 0.071 0.133
O15 0.525 0.071 0.367
O16 0.554 0.446 0.651
O17 0.554 0.446 0.849
O18 0.689 0.689 0.000
O19 0.689 0.689 0.500
O20 0.775 0.225 0.510
O21 0.775 0.225 0.990
O22 0.817 0.183 0.750
O23 0.929 0.475 0.133
O24 0.929 0.475 0.367
O25 0.985 0.015 0.613
O26 0.985 0.015 0.887


# 13
Na3CdPt: optimized geometry, PBE-GGA.

Values from the calculation:
- DFT total energy: -1.59 eV/atom
- Total magnetic moment: 0.000 μB/f.u.
- Formation energy from the elements: 594 meV/atom

a b c (Å): 5.424 5.424 5.424
angles (deg): 90.00 90.00 90.00
Atoms (fractional coordinates):
Na1 0.000 0.000 0.500
Na2 0.000 0.500 0.000
Na3 0.500 0.000 0.000
Cd1 0.000 0.000 0.000
Pt1 0.500 0.500 0.500


# 14
Mn3Br2: optimized geometry, PBE-GGA.

Values from the calculation:
- DFT total energy: -5.88 eV/atom
- Total magnetic moment: 12.991 μB/f.u.
- Raw formation energy: 1.5 eV per formula unit

a b c (Å): 6.817 6.388 8.058
angles (deg): 54.85 50.02 75.13
Atoms (fractional coordinates):
Mn1 0.000 0.000 0.000
Mn2 0.250 0.250 0.250
Mn3 0.466 0.802 0.365
Mn4 0.802 0.466 0.367
Mn5 0.883 0.885 0.448
Mn6 0.885 0.883 0.784
Br1 0.125 0.447 0.896
Br2 0.354 0.718 0.125
Br3 0.447 0.125 0.532
Br4 0.718 0.354 0.803


# 15
PuAgPd2: optimized geometry, PBE-GGA.

Values from the calculation:
- DFT total energy: -7.18 eV/atom
- Total magnetic moment: 5.196 μB/f.u.
- Formation energy from the elements: -287 meV/atom

a b c (Å): 4.938 4.938 6.206
angles (deg): 90.00 90.00 90.93
Atoms (fractional coordinates):
Pu1 0.223 0.223 0.000
Pu2 0.777 0.777 0.000
Ag1 0.209 0.209 0.500
Ag2 0.791 0.791 0.500
Pd1 0.290 0.710 0.266
Pd2 0.290 0.710 0.734
Pd3 0.710 0.290 0.266
Pd4 0.710 0.290 0.734


# 16
NaSr3Pm2Se6: optimized geometry, PBE-GGA.

Values from the calculation:
- DFT total energy: -4.95 eV/atom
- Total magnetic moment: 0.000 μB/f.u.
- Raw formation energy: -22.6 eV per formula unit

a b c (Å): 7.496 7.496 7.510
angles (deg): 99.57 99.57 119.96
Atoms (fractional coordinates):
Na1 0.000 0.000 0.000
Sr1 0.164 0.836 0.500
Sr2 0.500 0.500 0.500
Sr3 0.836 0.164 0.500
Pm1 0.333 0.667 0.000
Pm2 0.667 0.333 0.000
Se1 0.080 0.420 0.238
Se2 0.261 0.261 0.764
Se3 0.420 0.080 0.238
Se4 0.580 0.920 0.762
Se5 0.739 0.739 0.236
Se6 0.920 0.580 0.762


# 17
Nb3NiH: optimized geometry, PBE-GGA.

Values from the calculation:
- DFT total energy: -7.87 eV/atom
- Total magnetic moment: 0.000 μB/f.u.

a b c (Å): 4.102 4.102 4.102
angles (deg): 90.00 90.00 90.00
Atoms (fractional coordinates):
Nb1 0.000 0.000 0.500
Nb2 0.000 0.500 0.000
Nb3 0.500 0.000 0.000
Ni1 0.500 0.500 0.500
H1 0.000 0.000 0.000


# 18
Ta3TiN: optimized geometry, PBE-GGA.

Values from the calculation:
- DFT total energy: -10.93 eV/atom
- Total magnetic moment: 0.000 μB/f.u.
- Raw formation energy: -2.8 eV per formula unit

a b c (Å): 5.876 5.876 5.876
angles (deg): 115.68 109.14 103.81
Atoms (fractional coordinates):
Ta1 0.236 0.000 0.236
Ta2 0.284 0.040 0.756
Ta3 0.284 0.528 0.244
Ta4 0.716 0.472 0.756
Ta5 0.716 0.960 0.244
Ta6 0.764 0.000 0.764
Ti1 0.221 0.500 0.721
Ti2 0.779 0.500 0.279
N1 0.000 0.253 0.253
N2 0.000 0.747 0.747


# 19
Pu2TlRh: optimized geometry, PBE-GGA.

Values from the calculation:
- DFT total energy: -9.67 eV/atom
- Total magnetic moment: 0.264 μB/f.u.
- Formation energy from the elements: -77 meV/atom

a b c (Å): 8.925 8.925 8.925
angles (deg): 24.44 24.44 24.44
Atoms (fractional coordinates):
Pu1 0.000 0.000 0.000
Pu2 0.200 0.200 0.200
Tl1 0.767 0.767 0.767
Rh1 0.596 0.596 0.596


# 20
CaPmY: optimized geometry, PBE-GGA.

Values from the calculation:
- DFT total energy: -4.36 eV/atom
- Total magnetic moment: 0.000 μB/f.u.
- Formation energy from the elements: 49 meV/atom

a b c (Å): 8.290 8.290 8.290
angles (deg): 154.32 154.32 36.63
Atoms (fractional coordinates):
Ca1 0.000 0.000 0.000
Pm1 0.323 0.323 0.000
Y1 0.674 0.674 0.000